{"formula": "ScPCl2", "functional": "PBE", "state": "relaxed", "cell": [[5.9393, 0.0000, 0.0000], [0.0000, 6.0451, 0.0000], [0.0000, 0.0000, 8.9956]], "species": ["Sc", "Sc", "Sc", "Sc", "P", "P", "P", "P", "Cl", "Cl", "Cl", "Cl", "Cl", "Cl", "Cl", "Cl"], "frac_coords": [[0.0000, 0.0000, 0.0000], [0.0000, 0.5000, 0.5000], [0.5000, 0.0000, 0.5000], [0.5000, 0.5000, 0.0000], [0.0000, 0.0000, 0.5000], [0.0000, 0.5000, 0.0000], [0.5000, 0.0000, 0.0000], [0.5000, 0.5000, 0.5000], [0.2500, 0.0000, 0.2500], [0.2500, 0.0000, 0.7500], [0.2500, 0.5000, 0.2500], [0.2500, 0.5000, 0.7500], [0.7500, 0.0000, 0.2500], [0.7500, 0.0000, 0.7500], [0.7500, 0.5000, 0.2500], [0.7500, 0.5000, 0.7500]], "e_tot_ev_per_atom": -4.5401, "sg": "No. 69", "m_tot_mub_per_cell": 0.00, "e_above_lowest_polymorph_ev_per_fu": 1.893}